Record 1
VASP calculation (PBE) on a geometry-optimized Cd3Br4 structure.

Cell lengths 6.4816, 6.4816, 5.2762 Å; angles 90.00, 90.00, 120.00 degrees
Atoms (fractional coordinates):
Cd 0.0000 0.5000 0.0000
Cd 0.5000 0.0000 0.0000
Cd 0.5000 0.5000 0.0000
Br 0.0000 0.0000 0.2521
Br 0.0000 0.0000 0.7479
Br 0.3333 0.6667 0.5000
Br 0.6667 0.3333 0.5000

Output
density: 5682 kg/m³

***

Record 2
VASP calculation (PBE) on a geometry-optimized CdBr2 structure.

Cell lengths 7.2703, 7.2703, 7.2703 Å; angles 32.37, 32.37, 32.37 degrees
Atoms (fractional coordinates):
Cd 0.0000 0.0000 0.0000
Br 0.2569 0.2569 0.2569
Br 0.7431 0.7431 0.7431

Output
density: 4617 kg/m³

***

Record 3
VASP calculation (PBE) on a geometry-optimized Cd2Br3 structure.

Cell lengths 7.7349, 7.4063, 8.7799 Å; angles 56.33, 52.83, 70.85 degrees
Atoms (fractional coordinates):
Cd 0.0578 0.4422 0.1475
Cd 0.1025 0.8975 0.1922
Cd 0.4422 0.0578 0.3525
Cd 0.8975 0.1025 0.8078
Br 0.2219 0.4477 0.3738
Br 0.2934 0.8762 0.8023
Br 0.4477 0.2219 0.9566
Br 0.7046 0.7046 0.2954
Br 0.8762 0.2934 0.0281
Br 0.9546 0.9546 0.5454

Output
polymorph energy (0 for the lowest one): 0.45 kcal/mol of atoms
density: 4626 kg/m³

***

Record 4
VASP calculation (PBE) on a geometry-optimized Cd4Br3 structure.

Cell lengths 7.2296, 7.2296, 5.0273 Å; angles 90.00, 90.00, 120.00 degrees
Atoms (fractional coordinates):
Cd 0.0000 0.0000 0.2488
Cd 0.0000 0.0000 0.7512
Cd 0.3333 0.6667 0.5000
Cd 0.6667 0.3333 0.5000
Br 0.0000 0.5000 0.0000
Br 0.5000 0.0000 0.0000
Br 0.5000 0.5000 0.0000

Output
polymorph energy (0 for the lowest one): 5.19 kcal/mol of atoms
density: 5030 kg/m³

***

Number 1: total moment 0.00 μB per formula unit, uncorrected formation energy -151 meV/atom, density of states at the Fermi level 2.2 states/eV/cell. Number 2: total moment 0.00 μB per formula unit, uncorrected formation energy -858 meV/atom, density of states at the Fermi level 0.0 states/eV/cell. Number 3: total moment 0.00 μB per formula unit, uncorrected formation energy -560 meV/atom, density of states at the Fermi level 3.7 states/eV/cell. Number 4: total moment 0.00 μB per formula unit, uncorrected formation energy -46 meV/atom, density of states at the Fermi level 3.9 states/eV/cell.